<w>
## LuSc3 (PBE-GGA)

Data for a relaxed structure of LuSc3.

Cell lengths 4.683, 4.683, 4.683 Å; angles 90.00, 90.00, 90.00 degrees
Element x y z (fractional)
Sc 0.000 0.500 0.500
Sc 0.500 0.000 0.500
Sc 0.500 0.500 0.000
Lu 0.000 0.000 0.000

Fermi-level density of states   7.96 states/eV per cell
V   103 Å³ per cell


<x>
## LuSc3 (PBE-GGA)

Data for a relaxed structure of LuSc3.

Cell lengths 3.371, 5.822, 6.227 Å; angles 117.87, 105.71, 89.99 degrees
Element x y z (fractional)
Sc 0.246 0.581 0.493
Sc 0.500 0.500 0.000
Sc 0.754 0.088 0.507
Lu 0.000 0.997 0.000

Fermi-level density of states   7.69 states/eV per cell
V   103 Å³ per cell


<y>
## LuSc3 (PBE-GGA)

Data for a relaxed structure of LuSc3.

Cell lengths 5.272, 5.272, 5.272 Å; angles 60.00, 60.00, 60.00 degrees
Element x y z (fractional)
Sc 0.000 0.000 0.000
Sc 0.750 0.750 0.750
Sc 0.250 0.250 0.250
Lu 0.500 0.500 0.500

Fermi-level density of states   10.12 states/eV per cell
V   104 Å³ per cell


Bottom line: <x>, by a margin of 44 meV per atom.